Below is a geometry-optimized CsCdNO structure, with properties calculated at the PBE-GGA level.

Structure (extended XYZ):
```
8
Lattice="2.6697 2.7877 -0.3311 2.8591 -2.0700 5.6242 4.0559 -4.3180 -3.6511" Properties=species:S:1:pos:R:3 pbc="T T T"
N 4.2027 -3.9870 0.3185
Cs 3.0584 -3.2546 -2.7418
O 2.0558 0.8710 1.2453
N 1.2847 -1.3674 -1.1538
Cs 2.4350 -2.1041 1.9183
Cd 2.1451 0.5322 -0.8865
Cd 6.0160 -3.1019 -0.2720
O 7.5361 -4.4766 0.4109
```

Energy above the most stable polymorph in this dataset   424 meV per atom



Below is a geometry-optimized Cu2Ag structure, with properties calculated at the PBE-GGA level.

Structure (extended XYZ):
```
9
Lattice="-3.8857 -4.3729 0.2379 -1.9339 -5.3487 -1.3886 4.8324 -1.3416 6.6038" Properties=species:S:1:pos:R:3 pbc="T T T"
Cu 1.0458 -3.9875 3.6474
Cu -2.0330 -7.0757 1.8057
Cu -0.4229 -7.4900 3.9863
Ag 2.4162 -0.6708 3.3019
Ag 2.5571 -4.6188 5.8397
Ag -3.5443 -6.4444 -0.3867
Cu -0.5643 -3.5732 1.4667
Cu 3.9165 -1.1146 5.3686
Cu -4.9037 -9.9486 0.0845
```

Energy above the most stable polymorph in this dataset   46 meV per atom
Formation energy   92 meV per atom